[1]
NaCa2MgP after structural relaxation, computed with PBE.

Cell lengths 5.598, 5.598, 5.132 Å; angles 90.00, 90.00, 90.00 degrees
Space group P4/mmm (No. 123)
One atom of each set of equivalent atoms:
Na  0.000  0.000  0.000
Ca  0.000  0.500  0.500
Mg  0.500  0.500  0.000
P  0.500  0.500  0.500

Results
* calculated formation energy: -0.349 eV per atom


[2]
NaCaMg2Pb after structural relaxation, computed with PBE.

Cell lengths 5.609, 5.609, 6.077 Å; angles 90.00, 90.00, 90.00 degrees
Space group P4/mmm (No. 123)
One atom of each set of equivalent atoms:
Na  0.000  0.000  0.000
Ca  0.500  0.500  0.000
Mg  0.000  0.500  0.500
Pb  0.500  0.500  0.500

Results
* calculated formation energy: 0.169 eV per atom


[3]
NaCaMgPb after structural relaxation, computed with PBE.

Cell lengths 7.690, 7.690, 7.690 Å; angles 90.00, 90.00, 90.00 degrees
Space group F-43m (No. 216)
One atom of each set of equivalent atoms:
Na  0.000  0.000  0.000
Ca  0.000  0.000  0.500
Mg  0.250  0.250  0.250
Pb  0.250  0.250  0.750

Results
* calculated formation energy: -0.189 eV per atom


[4]
Na2CaMgPd after structural relaxation, computed with PBE.

Cell lengths 5.537, 5.537, 4.915 Å; angles 90.00, 90.00, 90.00 degrees
Space group P4/mmm (No. 123)
One atom of each set of equivalent atoms:
Na  0.000  0.500  0.000
Ca  0.000  0.000  0.500
Mg  0.500  0.500  0.000
Pd  0.500  0.500  0.500

Results
* calculated formation energy: 0.177 eV per atom


[5]
NaCaMgPd after structural relaxation, computed with PBE.

Cell lengths 7.142, 7.142, 7.142 Å; angles 90.00, 90.00, 90.00 degrees
Space group F-43m (No. 216)
One atom of each set of equivalent atoms:
Na  0.000  0.000  0.000
Ca  0.250  0.250  0.250
Mg  0.250  0.250  0.750
Pd  0.000  0.000  0.500

Results
* calculated formation energy: -0.265 eV per atom


[6]
NaCaMgPt after structural relaxation, computed with PBE.

Cell lengths 7.030, 7.030, 7.030 Å; angles 90.00, 90.00, 90.00 degrees
Space group F-43m (No. 216)
One atom of each set of equivalent atoms:
Na  0.000  0.000  0.000
Ca  0.250  0.250  0.750
Mg  0.250  0.250  0.250
Pt  0.000  0.000  0.500

Results
* calculated formation energy: -0.414 eV per atom


[7]
NaCaMgRh after structural relaxation, computed with PBE.

Cell lengths 6.987, 6.987, 6.987 Å; angles 90.00, 90.00, 90.00 degrees
Space group F-43m (No. 216)
One atom of each set of equivalent atoms:
Na  0.000  0.000  0.000
Ca  0.250  0.250  0.750
Mg  0.250  0.250  0.250
Rh  0.000  0.000  0.500

Results
* calculated formation energy: -0.120 eV per atom


[8]
NaCaMg2Sn2 after structural relaxation, computed with PBE.

Cell lengths 4.9654, 4.9654, 7.3008 Å; angles 90.00, 90.00, 120.00 degrees
Space group P-3m1 (No. 164)
One atom of each set of equivalent atoms:
Na  0.0000  0.0000  0.0000
Ca  0.0000  0.0000  0.5000
Mg  0.3333  0.6667  0.8013
Sn  0.3333  0.6667  0.2614

Results
* calculated formation energy: -0.346 eV per atom


[9]
NaSrCaMg after structural relaxation, computed with PBE.

Cell lengths 4.037, 4.037, 9.338 Å; angles 90.00, 90.00, 90.00 degrees
Space group P4mm (No. 99)
One atom of each set of equivalent atoms:
Na  0.000  0.000  0.000
Sr  0.500  0.500  0.705
Ca  0.500  0.500  0.265
Mg  0.000  0.000  0.469

Results
* calculated formation energy: -0.011 eV per atom


[10]
NaSr2Ca5Mg2 after structural relaxation, computed with PBE.

Cell lengths 12.498, 12.498, 5.276 Å; angles 90.00, 90.00, 90.00 degrees
Space group P4/mbm (No. 127)
One atom of each set of equivalent atoms:
Na  0.000  0.000  0.000
Sr  0.174  0.326  0.000
Ca  0.000  0.500  0.500
Ca  0.072  0.792  0.500
Mg  0.119  0.619  0.000

Results
* calculated formation energy: 0.014 eV per atom


[11]
NaCaTbMg after structural relaxation, computed with PBE.

Cell lengths 7.959, 7.959, 7.959 Å; angles 90.00, 90.00, 90.00 degrees
Space group F-43m (No. 216)
One atom of each set of equivalent atoms:
Na  0.000  0.000  0.000
Ca  0.250  0.250  0.750
Tb  0.250  0.250  0.250
Mg  0.000  0.000  0.500

Results
* calculated formation energy: 0.137 eV per atom


[12]
Na2CaMgTe after structural relaxation, computed with PBE.

Cell lengths 6.680, 6.680, 5.679 Å; angles 90.00, 90.00, 90.00 degrees
Space group P4/mmm (No. 123)
One atom of each set of equivalent atoms:
Na  0.000  0.500  0.000
Ca  0.000  0.000  0.000
Mg  0.500  0.500  0.500
Te  0.000  0.000  0.500

Results
* formation energy (no corrections): 0.138 eV/atom


no.,total DFT energy (no corrections) (eV per atom),magnetic moment (μB per cell)
1,-2.814,0.3
2,-1.875,0.0
3,-2.345,0.0
4,-2.109,0.0
5,-2.792,0.0
6,-3.153,0.0
7,-3.187,0.0
8,-2.765,0.0
9,-1.661,0.0
10,-1.774,0.0
11,-2.250,0.0
12,-1.737,0.0